P) Material: TiNb2O7
Method: DFT, GGA-PBE
State: relaxed

Lattice parameters (Å, degrees): 10.5064 10.5064 12.1645 119.70 119.70 21.13
Closest atoms and distances in Å follow each position.
Element x y z (fractional)
Ti 0.0000 0.0000 0.0000  2 O 1.78-1.83
Ti 0.4132 0.4132 0.2703  2 O 1.75-1.86
Ti 0.5157 0.5157 0.6184  4 O 1.84-1.98
Nb 0.5920 0.5920 0.2616  4 O 1.83-2.00
Nb 0.6247 0.6247 0.9873  4 O 1.81-2.00
Nb 0.7007 0.7007 0.6319  6 O 1.90-2.10
Nb 0.7852 0.7852 0.2710  4 O 1.82-2.00
Nb 0.8196 0.8196 0.0034  4 O 1.83-2.00
Nb 0.8944 0.8944 0.6446  4 O 1.83-1.99
O 0.0784 0.0784 0.2097  2 Nb 2.00, 1 Ti 2.23
O 0.1078 0.1078 0.0085  2 Nb 2.00, 1 Ti 2.18
O 0.2096 0.2096 0.6336  2 Nb 1.93
O 0.3038 0.3038 0.2533  2 Nb 2.00, 1 Ti 2.16
O 0.3332 0.3332 0.0529  2 Nb 2.00
O 0.4159 0.4159 0.6342  2 Nb 1.99, 1 Ti 2.17
O 0.4576 0.4576 0.4369  2 Ti 1.75-1.91
O 0.4960 0.4960 0.2487  1 Ti 1.86, 1 Nb 1.91
O 0.5323 0.5323 0.0337  2 Ti 2.01, 1 Nb 2.25
O 0.5788 0.5788 0.8157  1 Nb 1.81
O 0.6053 0.6053 0.6198  1 Ti 1.84, 1 Nb 1.90
O 0.6541 0.6541 0.4346  1 Nb 1.83
O 0.6813 0.6813 0.2165  1 Nb 1.90
O 0.7299 0.7299 0.0463  1 Nb 1.91
O 0.7573 0.7573 0.8303  1 Nb 1.83
O 0.8056 0.8056 0.6435  1 Nb 1.83
O 0.8314 0.8314 0.4436  1 Nb 1.82
O 0.8798 0.8798 0.2306  2 Ti 2.02, 1 Nb 2.24
O 0.9166 0.9166 0.0164  1 Ti 1.83, 1 Nb 1.93
O 0.9559 0.9559 0.8308  1 Ti 1.78, 1 Nb 1.96
O 0.9966 0.9966 0.6266  2 Ti 1.98

Properties
* theoretical density: 4.1 g/cm3
* space-group type: Cm
* magnetic moment: 0.000 Bohr magnetons per cell
* crystal system: monoclinic
* volume: 13.9 A^3/atom


Q) Material: TiNb2O7
Method: DFT, GGA-PBE
State: relaxed

Lattice parameters (Å, degrees): 10.5883 10.5883 12.1986 119.65 119.65 20.76
Closest atoms and distances in Å follow each position.
Element x y z (fractional)
Ti 0.0000 0.0000 0.0000  6 O 1.91-2.08
Ti 0.0791 0.0791 0.6458  4 O 1.78-1.98
Ti 0.2908 0.2908 0.3638  2 O 1.76-1.85
Nb 0.1106 0.1106 0.3648  4 O 1.79-2.01
Nb 0.1815 0.1815 0.0051  4 O 1.81-2.01
Nb 0.7072 0.7072 0.6425  4 O 1.82-2.01
Nb 0.8219 0.8219 0.0097  4 O 1.80-1.99
Nb 0.8921 0.8921 0.6346  3 O 1.80-1.99
Nb 0.9252 0.9252 0.3757  4 O 1.87-1.98
O 0.0258 0.0258 0.4216  1 Nb 1.88
O 0.0491 0.0491 0.1963  1 Nb 1.79
O 0.0983 0.0983 0.0166  1 Nb 1.81, 1 Ti 1.95
O 0.1257 0.1257 0.8147  1 Ti 1.78
O 0.1732 0.1732 0.6032  2 Nb 2.01
O 0.2072 0.2072 0.3805  1 Ti 1.85, 1 Nb 1.92
O 0.2490 0.2490 0.1975  1 Ti 1.76
O 0.2937 0.2937 0.0040  2 Nb 1.99
O 0.3707 0.3707 0.5820  2 Nb 1.99
O 0.4028 0.4028 0.3846  2 Nb 1.98, 1 Ti 2.22
O 0.4991 0.4991 0.9994  2 Ti 1.91
O 0.5980 0.5980 0.6303  2 Ti 1.98, 1 Nb 2.20
O 0.6262 0.6262 0.4234  2 Nb 2.01
O 0.7103 0.7103 0.0076  2 Nb 2.00
O 0.7540 0.7540 0.8152  1 Nb 1.82
O 0.7900 0.7900 0.6208  2 Nb 1.87-2.05
O 0.8259 0.8259 0.4042  2 Ti 2.01
O 0.8780 0.8780 0.1984  2 Nb 1.87-1.99
O 0.9028 0.9028 0.9926  1 Nb 1.80, 1 Ti 1.98
O 0.9491 0.9491 0.8047  1 Nb 1.80
O 0.9761 0.9761 0.5885  1 Ti 1.89, 1 Nb 2.09

Properties
* theoretical density: 4.1 g/cm3
* space-group type: Cm
* magnetic moment: 0.064 Bohr magnetons per cell
* crystal system: monoclinic
* volume: 14.0 A^3/atom


It comes down to P), which is 14 meV/atom more stable than the next structure.


P) Material: ZrTi2NbO
Method: DFT, GGA-PBE
State: relaxed

Lattice parameters (Å, degrees): 4.1495 4.1495 4.5877 90.00 90.00 90.00
Closest atoms and distances in Å follow each position.
Element x y z (fractional)
Zr 0.0000 0.0000 0.0000  2 O 2.29
Ti 0.0000 0.5000 0.5000  2 O 2.07
Ti 0.5000 0.0000 0.5000  2 O 2.07
Nb 0.5000 0.5000 0.0000  4 Zr 2.93, 8 Ti 3.09
O 0.0000 0.0000 0.5000  4 Ti 2.07, 2 Zr 2.29

Properties
* theoretical density: 6.2 g/cm3
* space-group type: P4/mmm
* magnetic moment: 0.000 Bohr magnetons per cell
* crystal system: tetragonal
* volume: 15.8 A^3/atom


Q) Material: ZrTi2NbO
Method: DFT, GGA-PBE
State: relaxed

Lattice parameters (Å, degrees): 4.1846 4.1846 4.5034 90.00 90.00 90.00
Closest atoms and distances in Å follow each position.
Element x y z (fractional)
Zr 0.0000 0.0000 0.0000  4 Nb 2.96, 8 Ti 3.07
Ti 0.0000 0.5000 0.5000  2 O 2.09
Ti 0.5000 0.0000 0.5000  2 O 2.09
Nb 0.5000 0.5000 0.0000  2 O 2.25
O 0.5000 0.5000 0.5000  4 Ti 2.09, 2 Nb 2.25

Properties
* theoretical density: 6.2 g/cm3
* space-group type: P4/mmm
* magnetic moment: 0.000 Bohr magnetons per cell
* crystal system: tetragonal
* volume: 15.8 A^3/atom


It comes down to P), which is 95 meV/atom more stable than the next structure.


P) Material: Zr2TiNbO
Method: DFT, GGA-PBE
State: relaxed

Lattice parameters (Å, degrees): 4.6132 4.6132 3.9951 90.00 90.00 90.00
Closest atoms and distances in Å follow each position.
Element x y z (fractional)
Zr 0.0000 0.5000 0.0000  2 O 2.31
Zr 0.5000 0.0000 0.0000  2 O 2.31
Ti 0.0000 0.0000 0.5000  2 O 2.00
Nb 0.5000 0.5000 0.5000  8 Zr 3.05, 4 Ti 3.26
O 0.0000 0.0000 0.0000  2 Ti 2.00

Properties
* theoretical density: 6.6 g/cm3
* space-group type: P4/mmm
* magnetic moment: 0.000 Bohr magnetons per cell
* crystal system: tetragonal
* volume: 17.0 A^3/atom


Q) Material: Zr2TiNbO
Method: DFT, GGA-PBE
State: relaxed

Lattice parameters (Å, degrees): 4.5223 4.5223 4.2453 90.00 90.00 90.00
Closest atoms and distances in Å follow each position.
Element x y z (fractional)
Zr 0.0000 0.5000 0.0000  2 O 2.26
Zr 0.5000 0.0000 0.0000  2 O 2.26
Ti 0.0000 0.0000 0.5000  8 Zr 3.10, 4 Nb 3.20
Nb 0.5000 0.5000 0.5000  2 O 2.12
O 0.5000 0.5000 0.0000  2 Nb 2.12, 4 Zr 2.26

Properties
* theoretical density: 6.5 g/cm3
* space-group type: P4/mmm
* magnetic moment: 0.000 Bohr magnetons per cell
* crystal system: tetragonal
* volume: 17.4 A^3/atom


It comes down to P), which is 140 meV/atom more stable than the next structure.


P) Material: Nb2Tl2O7
Method: DFT, GGA-PBE
State: relaxed

Lattice parameters (Å, degrees): 6.1450 6.1450 5.7285 96.29 96.29 110.33
Closest atoms and distances in Å follow each position.
Element x y z (fractional)
Nb 0.2501 0.2501 0.0984  4 O 1.88-1.94
Nb 0.7499 0.7499 0.9016  4 O 1.88-1.94
Tl 0.1907 0.8093 0.5000  6 O 2.43-2.57
Tl 0.8093 0.1907 0.5000  6 O 2.43-2.57
O 0.0686 0.0686 0.8018  1 Nb 1.92
O 0.1084 0.4206 0.2799  1 Nb 1.88
O 0.4206 0.1084 0.2799  1 Nb 1.88
O 0.5000 0.5000 0.0000  2 Nb 1.94
O 0.5794 0.8916 0.7201  1 Nb 1.88
O 0.8916 0.5794 0.7201  1 Nb 1.88
O 0.9314 0.9314 0.1982  1 Nb 1.92

Properties
* theoretical density: 5.9 g/cm3
* space-group type: C2/m
* magnetic moment: 0.000 Bohr magnetons per cell
* crystal system: monoclinic
* volume: 18.1 A^3/atom


Q) Material: Nb2Tl2O7
Method: DFT, GGA-PBE
State: relaxed

Lattice parameters (Å, degrees): 7.6250 7.6250 7.6250 60.00 60.00 60.00
Closest atoms and distances in Å follow each position.
Element x y z (fractional)
Nb 0.0000 0.0000 0.0000  6 O 2.02
Nb 0.0000 0.0000 0.5000  6 O 2.02
Nb 0.0000 0.5000 0.0000  6 O 2.02
Nb 0.5000 0.0000 0.0000  6 O 2.02
Tl 0.0000 0.5000 0.5000  2 O 2.33
Tl 0.5000 0.0000 0.5000  2 O 2.33
Tl 0.5000 0.5000 0.0000  2 O 2.33
Tl 0.5000 0.5000 0.5000  2 O 2.33
O 0.0618 0.0618 0.6882  2 Nb 2.02
O 0.0618 0.6882 0.0618  2 Nb 2.02
O 0.0618 0.6882 0.6882  2 Nb 2.02
O 0.3118 0.3118 0.9382  2 Nb 2.02
O 0.3118 0.9382 0.3118  2 Nb 2.02
O 0.3118 0.9382 0.9382  2 Nb 2.02
O 0.3750 0.3750 0.3750  4 Tl 2.33
O 0.6250 0.6250 0.6250  4 Tl 2.33
O 0.6882 0.0618 0.0618  2 Nb 2.02
O 0.6882 0.0618 0.6882  2 Nb 2.02
O 0.6882 0.6882 0.0618  2 Nb 2.02
O 0.9382 0.3118 0.3118  2 Nb 2.02
O 0.9382 0.3118 0.9382  2 Nb 2.02
O 0.9382 0.9382 0.3118  2 Nb 2.02

Properties
* theoretical density: 7.5 g/cm3
* space-group type: Fd-3m
* magnetic moment: 0.000 Bohr magnetons per cell
* crystal system: cubic
* volume: 14.2 A^3/atom


It comes down to Q), which is 79 meV/atom more stable than the next structure.